(1)
A relaxed structure of RbLa2Pm3Te6, computed with PBE.

Formation energy (no corrections) ... -138.6 kJ per mole of atoms
Electronic total energy ... -5.10 eV/atom
Crystal system ... monoclinic

POSCAR file:
```
RbLa2Pm3Te6
1.0
-2.6214 -1.0227 -3.5384
7.1454 -4.4962 -3.9940
-3.2871 -6.5534 7.2174
Rb La Pm Te
1 2 3 6
Direct
0.5000 0.0000 0.0000 Rb
0.8311 0.6604 0.6621 La
0.1689 0.3396 0.3379 La
0.5000 0.5000 0.0000 Pm
0.8380 0.1802 0.6759 Pm
0.1620 0.8198 0.3241 Pm
0.3250 0.9204 0.6499 Te
0.6640 0.5850 0.3280 Te
0.6750 0.0796 0.3501 Te
0.0012 0.2689 0.0023 Te
0.9988 0.7311 0.9977 Te
0.3360 0.4150 0.6720 Te
```



(2)
A relaxed structure of LaPmRe4, computed with PBE.

Electronic total energy ... -9.83 eV/atom
Crystal system ... cubic
ΔH_f (0 K) ... 50 kJ/mol of formula units

POSCAR file:
```
LaPmRe4
1.0
5.5197 0.0000 0.0000
2.7599 4.7802 0.0000
2.7599 1.5934 4.5068
Re La Pm
4 1 1
Direct
0.6250 0.6250 0.1249 Re
0.6250 0.1249 0.6250 Re
0.6250 0.6250 0.6250 Re
0.1249 0.6250 0.6250 Re
0.2500 0.2500 0.2500 La
0.0000 0.0000 0.0000 Pm
```



(3)
A relaxed structure of La8Pm2Rh3, computed with PBE.

Electronic total energy ... -5.70 eV/atom
Crystal system ... monoclinic
ΔH_f (0 K) ... -299 kJ/mol of formula units

POSCAR file:
```
La8Pm2Rh3
1.0
-3.5074 -6.1968 -3.0805
5.6092 -0.5814 -5.2170
0.9119 -4.1528 7.0996
La Pm Rh
8 2 3
Direct
0.8456 0.6502 0.3004 La
0.1544 0.3498 0.6996 La
0.8634 0.1047 0.2093 La
0.1366 0.8953 0.7907 La
0.6903 0.6414 0.8220 La
0.6903 0.1806 0.8220 La
0.3097 0.8194 0.1780 La
0.3097 0.3586 0.1780 La
0.5259 0.2256 0.4512 Pm
0.4741 0.7744 0.5488 Pm
0.5000 0.0000 0.0000 Rh
0.0000 0.3022 0.0000 Rh
0.0000 0.6978 0.0000 Rh
```



(4)
A relaxed structure of La2PmRh2, computed with PBE.

Electronic total energy ... -6.44 eV/atom
Crystal system ... orthorhombic
ΔH_f (0 K) ... -279 kJ/mol of formula units
Distance to the lowest polymorph of the same formula ... 62 meV/atom

POSCAR file:
```
La2PmRh2
1.0
-4.2051 0.7827 -2.2675
3.3446 -0.6484 -6.4264
0.6838 -7.9451 1.1576
La Pm Rh
4 2 4
Direct
0.2540 0.6738 0.5079 La
0.7460 0.1737 0.4921 La
0.4264 0.3318 0.8529 La
0.5736 0.8318 0.1471 La
0.0758 0.3615 0.1517 Pm
0.9242 0.8615 0.8483 Pm
0.1452 0.9973 0.2905 Rh
0.8548 0.4973 0.7095 Rh
0.3414 0.0016 0.6829 Rh
0.6586 0.5016 0.3171 Rh
```



(5)
A relaxed structure of LaPmRh, computed with PBE.

Electronic total energy ... -6.15 eV/atom
Crystal system ... cubic
ΔH_f (0 K) ... -137 kJ/mol of formula units
Distance to the lowest polymorph of the same formula ... 54 meV/atom

POSCAR file:
```
LaPmRh
1.0
4.9705 0.0000 0.0000
2.4853 4.3046 0.0000
2.4853 1.4349 4.0584
La Rh Pm
1 1 1
Direct
0.0000 0.0000 0.0000 La
0.2500 0.2500 0.2500 Rh
0.5000 0.5000 0.5000 Pm
```



(6)
A relaxed structure of LaPmRh, computed with PBE.

Electronic total energy ... -6.13 eV/atom
Crystal system ... monoclinic
ΔH_f (0 K) ... -131 kJ/mol of formula units
Distance to the lowest polymorph of the same formula ... 73 meV/atom

POSCAR file:
```
LaPmRh
1.0
4.3050 0.0000 0.0000
0.0000 9.9794 0.7650
-2.1525 -0.3041 8.1036
La Pm Rh
4 4 4
Direct
0.9305 0.6194 0.8610 La
0.5609 0.8320 0.1217 La
0.4391 0.1680 0.8783 La
0.0695 0.3806 0.1390 La
0.7744 0.3464 0.5489 Pm
0.1740 0.0501 0.3481 Pm
0.2256 0.6536 0.4511 Pm
0.8260 0.9499 0.6519 Pm
0.6285 0.5455 0.2570 Rh
0.3844 0.7982 0.7688 Rh
0.3715 0.4545 0.7430 Rh
0.6156 0.2018 0.2312 Rh
```



(7)
A relaxed structure of LaPm5Rh4, computed with PBE.

Electronic total energy ... -6.39 eV/atom
Crystal system ... monoclinic
ΔH_f (0 K) ... -557 kJ/mol of formula units

POSCAR file:
```
LaPm5Rh4
1.0
-4.0640 -0.4469 -2.6413
2.2615 -6.2778 -2.4174
-1.5517 -2.6852 7.3268
La Pm Rh
1 5 4
Direct
0.5000 0.0000 0.0000 La
0.1695 0.0454 0.3390 Pm
0.1655 0.5403 0.3310 Pm
0.8345 0.4597 0.6690 Pm
0.5000 0.5000 0.0000 Pm
0.8305 0.9546 0.6610 Pm
0.6608 0.2682 0.3217 Rh
0.0067 0.7559 0.0134 Rh
0.3392 0.7318 0.6783 Rh
0.9933 0.2441 0.9866 Rh
```



(8)
A relaxed structure of La3PmRh, computed with PBE.

Electronic total energy ... -5.57 eV/atom
Crystal system ... cubic
ΔH_f (0 K) ... -93 kJ/mol of formula units
Distance to the lowest polymorph of the same formula ... 145 meV/atom

POSCAR file:
```
La3PmRh
1.0
-0.0768 -5.3319 -1.8817
5.3287 0.5611 -1.8073
1.8908 -1.7978 5.0169
La Rh Pm
3 1 1
Direct
0.0000 0.5000 0.0000 La
0.0000 0.0000 0.5000 La
0.5000 0.0000 0.0000 La
0.0000 0.0000 0.0000 Rh
0.5000 0.5000 0.5000 Pm
```



(9)
A relaxed structure of La3Pm4Rh4, computed with PBE.

Electronic total energy ... -6.27 eV/atom
Crystal system ... orthorhombic
ΔH_f (0 K) ... -554 kJ/mol of formula units

POSCAR file:
```
La3Pm4Rh4
1.0
4.6839 0.0000 0.0000
0.0000 7.8940 0.0000
-2.3420 -3.9470 7.8245
La Pm Rh
3 4 4
Direct
0.0963 0.0963 0.1926 La
0.9037 0.9037 0.8074 La
0.0000 0.5000 0.0000 La
0.3308 0.1161 0.6616 Pm
0.6692 0.4545 0.3384 Pm
0.6692 0.8839 0.3384 Pm
0.3308 0.5455 0.6616 Pm
0.2058 0.7058 0.4117 Rh
0.7942 0.2942 0.5883 Rh
0.5000 0.8128 0.0000 Rh
0.5000 0.1872 0.0000 Rh
```



(10)
A relaxed structure of LaPmRh, computed with PBE.

Electronic total energy ... -6.18 eV/atom
Crystal system ... trigonal
ΔH_f (0 K) ... -147 kJ/mol of formula units
Distance to the lowest polymorph of the same formula ... 19 meV/atom

POSCAR file:
```
LaPmRh
1.0
6.4992 0.0000 0.0000
0.0000 4.1471 0.0000
0.0000 -2.0736 3.5915
La Rh Pm
1 1 1
Direct
0.7649 0.6667 0.3333 La
0.9989 0.0000 0.0000 Rh
0.2362 0.3333 0.6667 Pm
```



(11)
A relaxed structure of LaPm2Rh2, computed with PBE.

Electronic total energy ... -6.46 eV/atom
Crystal system ... monoclinic
ΔH_f (0 K) ... -306 kJ/mol of formula units
Distance to the lowest polymorph of the same formula ... 0 meV/atom

POSCAR file:
```
LaPm2Rh2
1.0
-1.2505 -4.0989 0.8981
5.5578 -1.7534 -0.2640
2.7485 1.4298 10.3527
La Pm Rh
2 4 4
Direct
0.2500 0.5466 0.2102 La
0.7500 0.4534 0.7898 La
0.2500 0.8893 0.8843 Pm
0.7500 0.1107 0.1157 Pm
0.2500 0.2292 0.5350 Pm
0.7500 0.7708 0.4650 Pm
0.2500 0.6895 0.6370 Rh
0.7500 0.3105 0.3630 Rh
0.2500 0.3396 0.9665 Rh
0.7500 0.6604 0.0335 Rh
```



(12)
A relaxed structure of La3Pm2Rh2, computed with PBE.

Electronic total energy ... -6.05 eV/atom
Crystal system ... monoclinic
ΔH_f (0 K) ... -323 kJ/mol of formula units

POSCAR file:
```
La3Pm2Rh2
1.0
-0.2196 -2.0859 -3.3668
6.2588 -0.2105 2.0589
-5.5939 -6.0810 4.1323
La Pm Rh
3 2 2
Direct
0.5000 0.0000 0.0000 La
0.6131 0.2262 0.4262 La
0.3869 0.7738 0.5738 La
0.8265 0.6530 0.1860 Pm
0.1735 0.3470 0.8140 Pm
0.8195 0.6390 0.7512 Rh
0.1805 0.3610 0.2488 Rh
```



(13)
A relaxed structure of LaPm4Rh4, computed with PBE.

Electronic total energy ... -6.54 eV/atom
Crystal system ... tetragonal
ΔH_f (0 K) ... -529 kJ/mol of formula units

POSCAR file:
```
LaPm4Rh4
1.0
-0.9914 -1.9476 -5.3545
1.4625 -8.4469 2.8016
-8.7640 -0.8738 1.9406
La Pm Rh
2 8 8
Direct
0.0000 0.0000 0.0000 La
0.5000 0.5000 0.5000 La
0.4204 0.3176 0.9103 Pm
0.9204 0.5897 0.8176 Pm
0.4204 0.6824 0.0897 Pm
0.0796 0.1824 0.5897 Pm
0.5796 0.9103 0.6824 Pm
0.0796 0.8176 0.4103 Pm
0.9204 0.4103 0.1824 Pm
0.5796 0.0897 0.3176 Pm
0.5858 0.7801 0.3772 Rh
0.5858 0.2199 0.6228 Rh
0.0858 0.8772 0.7199 Rh
0.9142 0.2801 0.8772 Rh
0.9142 0.7199 0.1228 Rh
0.4142 0.3772 0.2199 Rh
0.4142 0.6228 0.7801 Rh
0.0858 0.1228 0.2801 Rh
```



(14)
A relaxed structure of La2PmRh2, computed with PBE.

Electronic total energy ... -6.50 eV/atom
Crystal system ... monoclinic
ΔH_f (0 K) ... -309 kJ/mol of formula units
Distance to the lowest polymorph of the same formula ... 0 meV/atom

POSCAR file:
```
La2PmRh2
1.0
-2.7518 0.1613 3.3732
-4.0830 -3.0558 -3.1847
2.7881 -10.0730 2.7561
La Pm Rh
4 2 4
Direct
0.2500 0.8927 0.8799 La
0.7500 0.1073 0.1201 La
0.2500 0.2322 0.5355 La
0.7500 0.7678 0.4645 La
0.2500 0.5428 0.2048 Pm
0.7500 0.4572 0.7952 Pm
0.2500 0.6827 0.6351 Rh
0.7500 0.3173 0.3649 Rh
0.2500 0.3331 0.9724 Rh
0.7500 0.6669 0.0276 Rh
```



(15)
A relaxed structure of La3PmRh3, computed with PBE.

Electronic total energy ... -6.60 eV/atom
Crystal system ... trigonal
ΔH_f (0 K) ... -446 kJ/mol of formula units
Distance to the lowest polymorph of the same formula ... 0 meV/atom

POSCAR file:
```
La3PmRh3
1.0
-5.6463 -5.0435 0.7842
2.8320 -7.0083 -0.8921
0.5881 -3.2946 6.8361
La Pm Rh
6 2 6
Direct
0.8181 0.3593 0.1220 La
0.1220 0.8181 0.3593 La
0.3593 0.1220 0.8181 La
0.6407 0.8780 0.1819 La
0.8780 0.1819 0.6407 La
0.1819 0.6407 0.8780 La
0.3222 0.3222 0.3222 Pm
0.6778 0.6778 0.6778 Pm
0.5564 0.3050 0.9428 Rh
0.3050 0.9428 0.5564 Rh
0.9428 0.5564 0.3050 Rh
0.0572 0.4436 0.6950 Rh
0.6950 0.0572 0.4436 Rh
0.4436 0.6950 0.0572 Rh
```



(16)
A relaxed structure of LaPmRh, computed with PBE.

Electronic total energy ... -6.20 eV/atom
Crystal system ... monoclinic
ΔH_f (0 K) ... -152 kJ/mol of formula units
Distance to the lowest polymorph of the same formula ... 0 meV/atom

POSCAR file:
```
LaPmRh
1.0
7.1347 0.0000 0.0000
0.0000 6.4733 -1.6628
0.0000 1.9712 7.7000
La Pm Rh
4 4 4
Direct
0.4186 0.2405 0.8839 La
0.5814 0.7595 0.1161 La
0.9186 0.2595 0.6161 La
0.0814 0.7405 0.3839 La
0.9239 0.2430 0.1161 Pm
0.5761 0.7430 0.6161 Pm
0.0761 0.7570 0.8839 Pm
0.4239 0.2570 0.3839 Pm
0.2495 0.4965 0.6411 Rh
0.7505 0.5035 0.3589 Rh
0.2505 0.9965 0.1411 Rh
0.7495 0.0035 0.8589 Rh
```



(17)
A relaxed structure of LaPm6Rh4, computed with PBE.

Electronic total energy ... -6.20 eV/atom
Crystal system ... monoclinic
ΔH_f (0 K) ... -513 kJ/mol of formula units

POSCAR file:
```
LaPm6Rh4
1.0
5.9718 -0.5018 -1.6349
-1.3221 5.8433 -1.6344
0.4597 0.5293 8.0627
La Pm Rh
1 6 4
Direct
0.0153 0.0153 0.8760 La
0.0866 0.4799 0.6147 Pm
0.4800 0.0865 0.6146 Pm
0.8823 0.8821 0.4217 Pm
0.8982 0.5225 0.0301 Pm
0.4264 0.4266 0.2890 Pm
0.5226 0.8985 0.0302 Pm
0.9305 0.2333 0.2544 Rh
0.6430 0.6431 0.7042 Rh
0.2332 0.9304 0.2543 Rh
0.3821 0.3819 0.9107 Rh
```



(18)
A relaxed structure of La3PmRh3, computed with PBE.

Electronic total energy ... -6.55 eV/atom
Crystal system ... monoclinic
ΔH_f (0 K) ... -410 kJ/mol of formula units
Distance to the lowest polymorph of the same formula ... 52 meV/atom

POSCAR file:
```
La3PmRh3
1.0
-4.5831 2.5337 -4.8557
2.8182 -5.0829 -4.1501
-5.0514 -4.6856 2.4075
La Pm Rh
6 2 6
Direct
0.6746 0.6746 0.3700 La
0.1884 0.8116 0.5000 La
0.8116 0.1884 0.5000 La
0.2537 0.7463 0.0000 La
0.7463 0.2537 0.0000 La
0.3254 0.3254 0.6300 La
0.7615 0.7615 0.8766 Pm
0.2385 0.2385 0.1234 Pm
0.9443 0.9443 0.2057 Rh
0.0234 0.4814 0.7736 Rh
0.4814 0.0234 0.7736 Rh
0.9766 0.5186 0.2264 Rh
0.5186 0.9766 0.2264 Rh
0.0557 0.0557 0.7943 Rh
```



(19)
A relaxed structure of La3PmRh, computed with PBE.

Electronic total energy ... -5.71 eV/atom
Crystal system ... monoclinic
ΔH_f (0 K) ... -163 kJ/mol of formula units
Distance to the lowest polymorph of the same formula ... 0 meV/atom

POSCAR file:
```
La3PmRh
1.0
-2.2143 3.0565 1.0014
-6.1840 -2.0311 0.1389
-0.2043 -1.9514 13.1185
La Pm Rh
6 2 2
Direct
0.4351 0.9747 0.1550 La
0.7772 0.6911 0.7546 La
0.1038 0.1704 0.6220 La
0.9914 0.1137 0.9036 La
0.7796 0.0506 0.3903 La
0.4327 0.6159 0.5186 La
0.1116 0.4979 0.2789 Pm
0.2194 0.5552 0.0059 Pm
0.7760 0.3216 0.1265 Rh
0.4340 0.3458 0.7863 Rh
```



(20)
A relaxed structure of La5PmRh4, computed with PBE.

Electronic total energy ... -6.51 eV/atom
Crystal system ... monoclinic
ΔH_f (0 K) ... -605 kJ/mol of formula units

POSCAR file:
```
La5PmRh4
1.0
4.2591 0.0000 0.0000
0.0000 7.9959 -0.6250
-2.1296 -1.7938 8.7516
La Pm Rh
5 1 4
Direct
0.8351 0.6546 0.6703 La
0.8357 0.1395 0.6715 La
0.1643 0.8605 0.3285 La
0.5000 0.5000 0.0000 La
0.1649 0.3454 0.3297 La
0.5000 0.0000 0.0000 Pm
0.3239 0.8760 0.6477 Rh
0.9996 0.7363 0.9991 Rh
0.6761 0.1240 0.3523 Rh
0.0004 0.2637 0.0009 Rh
```



(21)
A relaxed structure of La3Pm2Rh3, computed with PBE.

Electronic total energy ... -6.32 eV/atom
Crystal system ... triclinic
ΔH_f (0 K) ... -405 kJ/mol of formula units

POSCAR file:
```
La3Pm2Rh3
1.0
-4.6532 3.2353 1.4477
1.8221 -1.7196 -6.4641
-7.9658 -11.6056 0.6798
La Pm Rh
6 4 6
Direct
0.6633 0.2605 0.5754 La
0.7825 0.4517 0.2482 La
0.9240 0.8865 0.8765 La
0.2164 0.5455 0.7500 La
0.0988 0.1299 0.1178 La
0.0880 0.1221 0.3824 La
0.6980 0.2901 0.9379 Pm
0.8754 0.8463 0.6123 Pm
0.3041 0.7100 0.4316 Pm
0.3257 0.7252 0.0672 Pm
0.6718 0.4805 0.7555 Rh
0.7743 0.6471 0.0639 Rh
0.7464 0.6196 0.4335 Rh
0.3291 0.5161 0.2501 Rh
0.2522 0.3734 0.9350 Rh
0.2301 0.3556 0.5671 Rh
```



(22)
A relaxed structure of LaPmRh, computed with PBE.

Electronic total energy ... -6.12 eV/atom
Crystal system ... tetragonal
ΔH_f (0 K) ... -129 kJ/mol of formula units
Distance to the lowest polymorph of the same formula ... 82 meV/atom

POSCAR file:
```
LaPmRh
1.0
3.5860 0.0000 0.0000
0.0000 3.5860 0.0000
-1.7930 -1.7930 6.6462
Pm Rh La
1 1 1
Direct
0.2914 0.2914 0.5828 Pm
0.6688 0.6688 0.3375 Rh
0.0398 0.0398 0.0797 La
```